DFT (GGA-PBE) results for a relaxed Ba2Zn2Cu crystal.

Values from the calculation:
The distance to the lowest polymorph of the same formula comes out at 0.141 eV/atom. For the calculated volume, the calculation gives 151 Å³ per cell. For the density of states at the Fermi level, the calculation gives 0.710 states/eV/atom. As for the space group: I4/mmm. The calculation puts the formation energy at 43 meV/atom.

Cell: 3.929 3.929 10.182 Å, 78.88 78.88 90.00°
Element x y z (fractional)
1 Zn 0.750 0.250 0.500
2 Zn 0.250 0.750 0.500
3 Cu 0.000 0.000 0.000
4 Ba 0.401 0.401 0.199
5 Ba 0.599 0.599 0.801


DFT (GGA-PBE) results for a relaxed BaZnCu crystal.

Values from the calculation:
For the calculated volume, the calculation gives 90 Å³ per cell. For the density of states at the Fermi level, the calculation gives 0.868 states/eV/atom. As for the space group: F-43m. The calculation puts the formation energy at 111 meV/atom.

Cell: 5.026 5.026 5.026 Å, 60.00 60.00 60.00°
Element x y z (fractional)
1 Zn 0.000 0.000 0.000
2 Ba 0.500 0.500 0.500
3 Cu 0.750 0.750 0.750